1.
Computed, not measured: a relaxed structure of ScTe2PtRh at the GGA-PBE level of DFT.

a b c (Å): 5.2417 4.8201 5.2417
angles (deg): 90.00 90.00 90.00
Sites, in units of the cell vectors:
Te 0.5000 0.0000 0.0000
Te 0.0000 0.0000 0.5000
Sc 0.5000 0.5000 0.5000
Pt 0.0000 0.0000 0.0000
Rh 0.0000 0.5000 0.0000

Results
raw total energy = -24.52 eV per cell
volume = 26.5 Å³/atom
size of the total moment = 0.000 μB per formula unit
D(E_F) = 4.171 states/eV per cell
uncorrected formation energy = 0.2972 eV per atom

=====

2.
Computed, not measured: a relaxed structure of PuNp2U3P6 at the GGA-PBE level of DFT.

a b c (Å): 6.7804 6.7804 6.9180
angles (deg): 99.40 99.40 120.00
Site moments in Bohr magnetons follow the coordinates.
Sites, in units of the cell vectors:
U 0.1660 0.8340 0.5000  1.61
U 0.8340 0.1660 0.5000  1.61
U 0.5000 0.5000 0.5000  1.61
Np 0.6668 0.3332 0.0000  -3.55
Np 0.3332 0.6668 0.0000  -3.55
P 0.2505 0.2505 0.7475  0.02
P 0.7495 0.7495 0.2525  0.02
P 0.5810 0.9156 0.7469  0.02
P 0.9156 0.5810 0.7469  0.02
P 0.0844 0.4190 0.2531  0.02
P 0.4190 0.0844 0.2531  0.02
Pu 0.0000 0.0000 0.0000  -4.99

Results
raw total energy = -117.96 eV per cell
volume = 21.7 Å³/atom
size of the total moment = 7.467 μB per formula unit
D(E_F) = 41.999 states/eV per cell
energy of formation = -0.9522 eV/atom

=====

3.
Computed, not measured: a relaxed structure of LiGdSe2 at the GGA-PBE level of DFT.

a b c (Å): 7.1152 7.1152 7.1152
angles (deg): 132.38 132.38 69.64
Site moments in Bohr magnetons follow the coordinates.
Sites, in units of the cell vectors:
Li 0.7500 0.2500 0.5000  0.00
Li 0.0000 0.0000 0.0000  0.00
Se 0.4970 0.9970 0.5000  -0.01
Se 0.0030 0.5030 0.5000  -0.01
Se 0.7470 0.7470 0.0000  -0.01
Se 0.2530 0.2530 0.0000  -0.01
Gd 0.2500 0.7500 0.5000  6.93
Gd 0.5000 0.5000 0.0000  6.93

Results
raw total energy = -59.40 eV per cell
volume = 24.1 Å³/atom
size of the total moment = 6.996 μB per formula unit
uncorrected formation energy = -1.6843 eV per atom

=====

4.
Computed, not measured: a relaxed structure of Ac8AsIr3S4 at the GGA-PBE level of DFT.

a b c (Å): 8.6993 8.9328 8.6992
angles (deg): 119.14 120.00 90.00
Sites, in units of the cell vectors:
S 0.5000 0.0000 0.0000
S 0.5000 0.0000 0.5000
S 0.0000 0.0000 0.5000
S 0.0000 0.0000 0.0000
Ac 0.2544 0.2632 0.5088
Ac 0.2498 0.7338 0.4997
Ac 0.2499 0.7339 0.9841
Ac 0.2657 0.2661 0.0159
Ac 0.7456 0.7368 0.4912
Ac 0.7343 0.7339 0.9841
Ac 0.7501 0.2661 0.0159
Ac 0.7502 0.2662 0.5003
Ir 0.5000 0.5000 0.0000
Ir 0.5000 0.5000 0.5000
Ir 0.0000 0.5000 0.5000
As 0.0000 0.5000 0.0000

Results
raw total energy = -102.96 eV per cell
volume = 30.3 Å³/atom
size of the total moment = 0.000 μB per formula unit
D(E_F) = 10.449 states/eV per cell
uncorrected formation energy = -1.3970 eV per atom

=====

5.
Computed, not measured: a relaxed structure of NaPmCuAu at the GGA-PBE level of DFT.

a b c (Å): 5.0108 5.0108 5.0108
angles (deg): 60.00 60.00 60.00
Sites, in units of the cell vectors:
Pm 0.0000 0.0000 0.0000
Cu 0.2500 0.2500 0.2500
Au 0.7500 0.7500 0.7500
Na 0.5000 0.5000 0.5000

Results
raw total energy = -14.46 eV per cell
volume = 22.2 Å³/atom
size of the total moment = 0.000 μB per formula unit
D(E_F) = 3.028 states/eV per cell
energy of formation = -0.2547 eV/atom

=====

6.
Computed, not measured: a relaxed structure of Dy12Ho3Th at the GGA-PBE level of DFT.

a b c (Å): 5.0141 5.0141 20.0047
angles (deg): 90.00 90.00 90.00
Sites, in units of the cell vectors:
Dy 0.0000 0.5000 0.1242
Dy 0.0000 0.5000 0.3750
Dy 0.0000 0.5000 0.8758
Dy 0.5000 0.0000 0.8758
Dy 0.5000 0.5000 0.0000
Dy 0.5000 0.5000 0.5000
Dy 0.0000 0.5000 0.6250
Dy 0.5000 0.5000 0.7484
Dy 0.5000 0.5000 0.2516
Dy 0.5000 0.0000 0.6250
Dy 0.5000 0.0000 0.3750
Dy 0.5000 0.0000 0.1242
Ho 0.0000 0.0000 0.5000
Ho 0.0000 0.0000 0.7500
Ho 0.0000 0.0000 0.2500
Th 0.0000 0.0000 0.0000

Results
raw total energy = -75.99 eV per cell
volume = 31.4 Å³/atom
size of the total moment = 0.000 μB per formula unit
D(E_F) = 21.919 states/eV per cell
energy of formation = 0.0241 eV/atom